Entry 1:
LiLaHg2 after structural relaxation. Source: Alexandria via LeMat-Bulk, functional GGA-PBEsol.

Output
As for the distance to the lowest polymorph of the same formula: 0.0587 eV/atom. For the density of states at the Fermi level, the calculation gives 2.85 states/eV/cell. The calculated formation energy comes out at -0.4640 eV per atom. The value obtained for the total DFT energy (no corrections) is -2.576 eV per atom. The calculation puts the density at 10.09 g cm⁻³.

Structure (CIF):
```
data_LiLaHg2
_cell_length_a 3.402
_cell_length_b 3.532
_cell_length_c 7.494
_cell_angle_alpha 90.00
_cell_angle_beta 90.00
_cell_angle_gamma 90.00
_symmetry_space_group_name_H-M 'P m m m'
_symmetry_Int_Tables_number 47
_symmetry_space_group_name_Hall '-P 2 2'
loop_
_atom_site_label
_atom_site_fract_x
_atom_site_fract_y
_atom_site_fract_z
Li1 0.000 0.000 0.000
La1 0.000 0.000 0.500
Hg1 0.500 0.500 0.203
```

=====

Entry 2:
Li2LaHg after structural relaxation. Source: Alexandria via LeMat-Bulk, functional GGA-PBEsol.

Output
For the density of states at the Fermi level, the calculation gives 3.04 states/eV/cell. The calculated formation energy comes out at -0.2176 eV per atom. The value obtained for the total DFT energy (no corrections) is -2.679 eV per atom. The calculation puts the density at 6.35 g cm⁻³.

Structure (CIF):
```
data_Li2LaHg
_cell_length_a 3.457
_cell_length_b 3.457
_cell_length_c 7.725
_cell_angle_alpha 90.00
_cell_angle_beta 90.00
_cell_angle_gamma 90.00
_symmetry_space_group_name_H-M 'P 4 m m'
_symmetry_Int_Tables_number 99
_symmetry_space_group_name_Hall 'P 4 -2'
loop_
_atom_site_label
_atom_site_fract_x
_atom_site_fract_y
_atom_site_fract_z
Li1 0.000 0.000 0.000
Li2 0.500 0.500 0.202
La1 0.500 0.500 0.662
Hg1 0.000 0.000 0.378
```

=====

Entry 3:
LiLaSnHg2 after structural relaxation. Source: Alexandria via LeMat-Bulk, functional GGA-PBEsol.

Output
For the density of states at the Fermi level, the calculation gives 6.76 states/eV/cell. The calculated formation energy comes out at 0.7641 eV per atom. The value obtained for the total DFT energy (no corrections) is -1.777 eV per atom. The calculation puts the density at 6.03 g cm⁻³.

Structure (CIF):
```
data_LiLaSnHg2
_cell_length_a 5.706
_cell_length_b 5.706
_cell_length_c 5.629
_cell_angle_alpha 90.00
_cell_angle_beta 90.00
_cell_angle_gamma 90.00
_symmetry_space_group_name_H-M 'P 4/m m m'
_symmetry_Int_Tables_number 123
_symmetry_space_group_name_Hall '-P 4 2'
loop_
_atom_site_label
_atom_site_fract_x
_atom_site_fract_y
_atom_site_fract_z
Li1 0.000 0.000 0.000
La1 0.000 0.000 0.500
Sn1 0.500 0.500 0.000
Hg1 0.000 0.500 0.500
```

=====

Entry 4:
LaMg2Hg after structural relaxation. Source: Alexandria via LeMat-Bulk, functional GGA-PBEsol.

Output
For the density of states at the Fermi level, the calculation gives 7.47 states/eV/cell. The calculated formation energy comes out at -0.3413 eV per atom. The value obtained for the total DFT energy (no corrections) is -2.678 eV per atom. The calculation puts the density at 6.53 g cm⁻³.

Structure (CIF):
```
data_LaMg2Hg
_cell_length_a 7.338
_cell_length_b 7.338
_cell_length_c 7.338
_cell_angle_alpha 90.00
_cell_angle_beta 90.00
_cell_angle_gamma 90.00
_symmetry_space_group_name_H-M 'F -4 3 m'
_symmetry_Int_Tables_number 216
_symmetry_space_group_name_Hall 'F -4 2 3'
loop_
_atom_site_label
_atom_site_fract_x
_atom_site_fract_y
_atom_site_fract_z
La1 0.000 0.000 0.000
Mg1 0.000 0.000 0.500
Mg2 0.250 0.250 0.750
Hg1 0.250 0.250 0.250
```

=====

Entry 5:
LaMg2Hg after structural relaxation. Source: Alexandria via LeMat-Bulk, functional GGA-PBEsol.

Output
For the density of states at the Fermi level, the calculation gives 2.90 states/eV/cell. The calculated formation energy comes out at -0.2091 eV per atom. The value obtained for the total DFT energy (no corrections) is -2.546 eV per atom. The calculation puts the density at 6.35 g cm⁻³.

Structure (CIF):
```
data_LaMg2Hg
_cell_length_a 3.360
_cell_length_b 4.941
_cell_length_c 6.208
_cell_angle_alpha 90.00
_cell_angle_beta 100.22
_cell_angle_gamma 90.00
_symmetry_space_group_name_H-M 'P 1 2/m 1'
_symmetry_Int_Tables_number 10
_symmetry_space_group_name_Hall '-P 2y'
loop_
_atom_site_label
_atom_site_fract_x
_atom_site_fract_y
_atom_site_fract_z
La1 0.000 0.000 0.000
Mg1 0.368 0.500 0.724
Hg1 0.500 0.000 0.500
```

=====

Entry 6:
LaMgHg after structural relaxation. Source: Alexandria via LeMat-Bulk, functional GGA-PBEsol.

Output
For the density of states at the Fermi level, the calculation gives 2.59 states/eV/cell. The calculated formation energy comes out at -0.4058 eV per atom. The value obtained for the total DFT energy (no corrections) is -2.949 eV per atom. The calculation puts the density at 7.83 g cm⁻³.

Structure (CIF):
```
data_LaMgHg
_cell_length_a 5.0292
_cell_length_b 5.0292
_cell_length_c 3.5211
_cell_angle_alpha 90.00
_cell_angle_beta 90.00
_cell_angle_gamma 120.00
_symmetry_space_group_name_H-M 'P -6 m 2'
_symmetry_Int_Tables_number 187
_symmetry_space_group_name_Hall 'P -6 2'
loop_
_atom_site_label
_atom_site_fract_x
_atom_site_fract_y
_atom_site_fract_z
La1 0.0000 0.0000 0.0000
Mg1 0.3333 0.6667 0.5000
Hg1 0.6667 0.3333 0.5000
```

=====

Entry 7:
La2MgHg2 after structural relaxation. Source: Alexandria via LeMat-Bulk, functional GGA-PBEsol.

Output
For the density of states at the Fermi level, the calculation gives 9.90 states/eV/cell. The calculated formation energy comes out at -0.4472 eV per atom. The value obtained for the total DFT energy (no corrections) is -3.156 eV per atom. The calculation puts the density at 8.20 g cm⁻³.

Structure (CIF):
```
data_La2MgHg2
_cell_length_a 8.340
_cell_length_b 8.340
_cell_length_c 4.095
_cell_angle_alpha 90.00
_cell_angle_beta 90.00
_cell_angle_gamma 90.00
_symmetry_space_group_name_H-M 'P 4/m b m'
_symmetry_Int_Tables_number 127
_symmetry_space_group_name_Hall '-P 4 2ab'
loop_
_atom_site_label
_atom_site_fract_x
_atom_site_fract_y
_atom_site_fract_z
La1 0.170 0.330 0.000
Mg1 0.000 0.000 0.500
Hg1 0.131 0.631 0.500
```

=====

Entry 8:
LaMg2Hg2 after structural relaxation. Source: Alexandria via LeMat-Bulk, functional GGA-PBEsol.

Output
For the density of states at the Fermi level, the calculation gives 7.58 states/eV/cell. The calculated formation energy comes out at -0.4160 eV per atom. The value obtained for the total DFT energy (no corrections) is -2.399 eV per atom. The calculation puts the density at 7.92 g cm⁻³.

Structure (CIF):
```
data_LaMg2Hg2
_cell_length_a 4.399
_cell_length_b 4.399
_cell_length_c 12.751
_cell_angle_alpha 90.00
_cell_angle_beta 90.00
_cell_angle_gamma 90.00
_symmetry_space_group_name_H-M 'I 4/m m m'
_symmetry_Int_Tables_number 139
_symmetry_space_group_name_Hall '-I 4 2'
loop_
_atom_site_label
_atom_site_fract_x
_atom_site_fract_y
_atom_site_fract_z
La1 0.000 0.000 0.000
Mg1 0.000 0.500 0.250
Hg1 0.000 0.000 0.389
```